Below is crystalline K2Se2F at its relaxed geometry, with properties calculated at the PBE level.

**E**: -3.315 eV per atom
**Magnetization**: 1.00 Bohr magnetons per cell
**ΔE_f (raw)**: -1.108 eV/atom
**Crystal system**: tetragonal

abc: 6.278 6.278 5.979
angles: 58.33 58.33 90.00
Positions (direct):
K 0.750 0.250 0.500
K 0.250 0.750 0.500
Se 0.354 0.354 0.293
Se 0.646 0.646 0.707
F 0.000 0.000 0.000

***

Below is crystalline K2SeF at its relaxed geometry, with properties calculated at the PBE level.

**E**: -3.442 eV per atom
**Magnetization**: 2.00 Bohr magnetons per cell
**ΔE_f (raw)**: -1.554 eV/atom
**Crystal system**: tetragonal

abc: 7.599 7.599 6.908
angles: 56.63 56.63 90.00
Positions (direct):
K 0.541 0.125 0.250
K 0.209 0.625 0.250
K 0.375 0.459 0.750
K 0.875 0.791 0.750
Se 0.000 0.000 0.000
Se 0.750 0.250 0.500
F 0.500 0.500 0.000
F 0.250 0.750 0.500

***

Number 1: polymorph energy (0 for the lowest one) 0 meV per atom. Number 2: polymorph energy (0 for the lowest one) 98 meV per atom.